Entry 1:
# SmHf2Zr3N6, relaxed, DFT PBE
# - Space-group type: C2/m
# - E_form (uncorrected): -160.1 kJ per mole of atoms
data_SmHf2Zr3N6
_cell_length_a 3.272
_cell_length_b 6.644
_cell_length_c 7.354
_cell_angle_alpha 102.70
_cell_angle_beta 102.85
_cell_angle_gamma 90.00
_space_group_name_H-M_alt 'P 1'
_space_group_IT_number 1
loop_
_space_group_symop_operation_xyz
'x,y,z'
loop_
_atom_site_label
_atom_site_type_symbol
_atom_site_fract_x
_atom_site_fract_y
_atom_site_fract_z
N1 N 0.331 0.424 0.661
Zr1 Zr 0.500 0.500 0.000
Zr2 Zr 0.834 0.168 0.668
Hf1 Hf 0.832 0.665 0.665
N2 N 0.674 0.098 0.348
N3 N 0.669 0.576 0.339
N4 N 0.006 0.271 0.012
Zr3 Zr 0.166 0.832 0.332
N5 N 0.994 0.729 0.988
N6 N 0.326 0.902 0.652
Hf2 Hf 0.168 0.335 0.335
Sm1 Sm 0.500 0.000 0.000

Entry 2:
# SmHf2ZrN4, relaxed, DFT PBE
# - Space-group type: Imma
# - E_form (uncorrected): -161.3 kJ per mole of atoms
data_SmHf2ZrN4
_cell_length_a 6.618
_cell_length_b 6.618
_cell_length_c 6.588
_cell_angle_alpha 119.85
_cell_angle_beta 119.85
_cell_angle_gamma 90.02
_space_group_name_H-M_alt 'P 1'
_space_group_IT_number 1
loop_
_space_group_symop_operation_xyz
'x,y,z'
loop_
_atom_site_label
_atom_site_type_symbol
_atom_site_fract_x
_atom_site_fract_y
_atom_site_fract_z
Sm1 Sm 0.000 0.500 0.500
N1 N 0.278 0.769 0.024
Sm2 Sm 0.000 0.500 0.000
Zr1 Zr 0.000 0.000 0.000
N2 N 0.722 0.231 0.976
Zr2 Zr 0.500 0.500 0.500
Hf1 Hf 0.500 0.000 0.500
Hf2 Hf 0.500 0.000 0.000
N3 N 0.738 0.762 0.490
N4 N 0.731 0.222 0.476
N5 N 0.738 0.762 0.010
N6 N 0.269 0.778 0.524
Hf3 Hf 0.500 0.500 0.000
Hf4 Hf 0.000 0.000 0.500
N7 N 0.262 0.238 0.990
N8 N 0.262 0.238 0.510

Entry 3:
# Sm2HfZrN4, relaxed, DFT PBE
# - Space-group type: P2/m
# - E_form (uncorrected): -158.6 kJ per mole of atoms
data_Sm2HfZrN4
_cell_length_a 3.364
_cell_length_b 5.818
_cell_length_c 5.969
_cell_angle_alpha 109.03
_cell_angle_beta 90.00
_cell_angle_gamma 90.00
_space_group_name_H-M_alt 'P 1'
_space_group_IT_number 1
loop_
_space_group_symop_operation_xyz
'x,y,z'
loop_
_atom_site_label
_atom_site_type_symbol
_atom_site_fract_x
_atom_site_fract_y
_atom_site_fract_z
Zr1 Zr 0.500 0.500 0.000
N1 N 0.500 0.235 0.216
Sm1 Sm 0.000 0.500 0.500
Sm2 Sm 0.500 0.000 0.500
Hf1 Hf 0.000 0.000 0.000
N2 N 0.500 0.765 0.784
N3 N 0.000 0.256 0.782
N4 N 0.000 0.744 0.218